*P*
DFT (PBE) results for a geometry-optimized BaAcSb2 structure.

Summary:
calculated volume = 144.1 Å³/cell

Cell: 4.3290 4.3290 7.6894 Å, 90.00 90.00 90.00°
Closest atoms and distances in Å follow each position.
Space group P4/mmm (No. 123)
Inequivalent atoms, fractional coordinates:
Ba 0.0000 0.0000 0.0000 (multiplicity 1)  8 Sb 3.70, 2 Ac 3.84
Ac 0.0000 0.0000 0.5000 (multiplicity 1)  8 Sb 3.53, 2 Ba 3.84
Sb 0.5000 0.5000 0.2703 (multiplicity 2)  1 Sb 3.53, 4 Ac 3.53, 4 Ba 3.70



*Q*
DFT (PBE) results for a geometry-optimized BaAcSb2 structure.

Summary:
calculated volume = 579.1 Å³/cell

Cell: 8.3353 8.3353 8.3353 Å, 90.00 90.00 90.00°
Closest atoms and distances in Å follow each position.
Space group Fm-3m (No. 225)
Inequivalent atoms, fractional coordinates:
Ba 0.0000 0.0000 0.0000 (multiplicity 4)  8 Sb 3.61
Ac 0.0000 0.0000 0.5000 (multiplicity 4)  8 Sb 3.61
Sb 0.2500 0.2500 0.2500 (multiplicity 8)  4 Ba 3.61, 4 Ac 3.61



What are the relative energies? In meV per atom: *P* 0; *Q* 47.



*P*
DFT (PBE) results for a geometry-optimized BaAc2Sb structure.

Summary:
calculated volume = 590.9 Å³/cell

Cell: 4.4776 4.4776 34.0312 Å, 90.00 90.00 120.00°
Closest atoms and distances in Å follow each position.
Space group R3m (No. 160, hexagonal axes)
Inequivalent atoms, fractional coordinates:
Ba 0.0000 0.0000 0.0000 (multiplicity 3)  6 Ac 4.45-4.47, 6 Ba 4.48
Ac 0.0000 0.0000 0.5597 (multiplicity 3)  3 Sb 3.30
Ac 0.0000 0.0000 0.7729 (multiplicity 3)  3 Sb 3.29
Sb 0.0000 0.0000 0.1660 (multiplicity 3)  6 Ac 3.29-3.30



*Q*
DFT (PBE) results for a geometry-optimized BaAc2Sb structure.

Summary:
calculated volume = 152.0 Å³/cell

Cell: 5.3787 5.3787 5.2540 Å, 90.00 90.00 90.00°
Closest atoms and distances in Å follow each position.
Space group P4/mmm (No. 123)
Inequivalent atoms, fractional coordinates:
Ba 0.0000 0.0000 0.0000 (multiplicity 1)  8 Ac 3.76, 4 Sb 3.80
Ac 0.0000 0.5000 0.5000 (multiplicity 2)  4 Ba 3.76, 4 Sb 3.76, 4 Ac 3.80
Sb 0.5000 0.5000 0.0000 (multiplicity 1)  8 Ac 3.76, 4 Ba 3.80



*R*
DFT (PBE) results for a geometry-optimized BaAc2Sb structure.

Summary:
calculated volume = 594.0 Å³/cell

Cell: 4.4714 4.4714 34.3057 Å, 90.00 90.00 120.00°
Closest atoms and distances in Å follow each position.
Space group R-3m (No. 166, hexagonal axes)
Inequivalent atoms, fractional coordinates:
Ba 0.0000 0.0000 0.0000 (multiplicity 3)  6 Ba 4.47, 6 Ac 4.49
Ac 0.0000 0.0000 0.2263 (multiplicity 6)  3 Sb 3.29
Sb 0.0000 0.0000 0.5000 (multiplicity 3)  6 Ac 3.29



What are the relative energies? In meV per atom: *P* 0; *Q* 55; *R* 9.



*P*
DFT (PBE) results for a geometry-optimized Ba2AcSe3 structure.

Summary:
calculated volume = 836.4 Å³/cell

Cell: 7.9935 13.8328 8.0199 Å, 90.00 109.40 90.00°
Closest atoms and distances in Å follow each position.
Space group C2/m (No. 12)
Inequivalent atoms, fractional coordinates:
Ba 0.0000 0.0000 0.0000 (multiplicity 2)  6 Se 3.28-3.29
Ba 0.0000 0.1637 0.5000 (multiplicity 4)  6 Se 3.28-3.36
Ba 0.0000 0.5000 0.5000 (multiplicity 2)  6 Se 3.26-3.35
Ac 0.0000 0.3328 0.0000 (multiplicity 4)  6 Se 3.17-3.18
Se 0.2343 0.5000 0.2353 (multiplicity 4)  2 Ac 3.17, 4 Ba 3.26-3.34
Se 0.2484 0.3280 0.7619 (multiplicity 8)  2 Ac 3.18, 4 Ba 3.28-3.36



*Q*
DFT (PBE) results for a geometry-optimized Ba2AcSe3 structure.

Summary:
calculated volume = 417.9 Å³/cell

Cell: 4.6069 6.5232 13.9049 Å, 90.00 90.00 90.00°
Closest atoms and distances in Å follow each position.
Space group Immm (No. 71)
Inequivalent atoms, fractional coordinates:
Ba 0.0000 0.0000 0.1691 (multiplicity 4)  6 Se 3.27-3.35
Ac 0.0000 0.0000 0.5000 (multiplicity 2)  6 Se 3.16-3.26
Se 0.0000 0.5000 0.1557 (multiplicity 4)  2 Ac 3.16, 4 Ba 3.27-3.35
Se 0.0000 0.5000 0.5000 (multiplicity 2)  2 Ac 3.26, 4 Ba 3.29



What are the relative energies? In meV per atom: *P* 0; *Q* 9.



*P*
DFT (PBE) results for a geometry-optimized BaAcTeSe structure.

Summary:
calculated volume = 524.2 Å³/cell

Cell: 8.0629 8.0629 8.0629 Å, 90.00 90.00 90.00°
Closest atoms and distances in Å follow each position.
Space group F-43m (No. 216)
Inequivalent atoms, fractional coordinates:
Ba 0.0000 0.0000 0.0000 (multiplicity 4)  4 Te 3.49, 4 Se 3.49
Ac 0.0000 0.0000 0.5000 (multiplicity 4)  4 Se 3.49, 4 Te 3.49
Te 0.2500 0.2500 0.2500 (multiplicity 4)  4 Ba 3.49, 4 Ac 3.49
Se 0.2500 0.2500 0.7500 (multiplicity 4)  4 Ba 3.49, 4 Ac 3.49



*Q*
DFT (PBE) results for a geometry-optimized BaAcTeSe structure.

Summary:
calculated volume = 444.8 Å³/cell

Cell: 4.6741 4.6741 23.5104 Å, 90.00 90.00 120.00°
Closest atoms and distances in Å follow each position.
Space group R3m (No. 160, hexagonal axes)
Inequivalent atoms, fractional coordinates:
Ba 0.0000 0.0000 0.0000 (multiplicity 3)  3 Se 3.32, 3 Te 3.49
Ac 0.0000 0.0000 0.4880 (multiplicity 3)  3 Se 3.19, 3 Te 3.35
Te 0.0000 0.0000 0.2394 (multiplicity 3)  3 Ac 3.35, 3 Ba 3.49
Se 0.0000 0.0000 0.7491 (multiplicity 3)  3 Ac 3.19, 3 Ba 3.32



What are the relative energies? In meV per atom: *P* 250; *Q* 0.



*P*
DFT (PBE) results for a geometry-optimized BaAcSi2 structure.

Summary:
calculated volume = 239.3 Å³/cell

Cell: 4.1437 6.4208 8.9925 Å, 90.00 90.00 90.00°
Closest atoms and distances in Å follow each position.
Space group Pmc2_1 (No. 26)
Inequivalent atoms, fractional coordinates:
Ba 0.0000 0.1350 0.0000 (multiplicity 2)  7 Si 3.37-3.53
Ac 0.5000 0.3579 0.3595 (multiplicity 2)  7 Si 3.30-3.64
Si 0.0000 0.3748 0.6478 (multiplicity 2)  2 Si 2.52
Si 0.5000 0.1650 0.7027 (multiplicity 2)  2 Si 2.52



*Q*
DFT (PBE) results for a geometry-optimized BaAcSi2 structure.

Summary:
calculated volume = 126.1 Å³/cell

Cell: 4.2302 4.2302 7.0453 Å, 90.00 90.00 90.00°
Closest atoms and distances in Å follow each position.
Space group P4/mmm (No. 123)
Inequivalent atoms, fractional coordinates:
Ba 0.0000 0.0000 0.0000 (multiplicity 1)  2 Ac 3.52, 8 Si 3.77
Ac 0.0000 0.0000 0.5000 (multiplicity 1)  8 Si 3.23, 2 Ba 3.52
Si 0.5000 0.5000 0.3262 (multiplicity 2)  1 Si 2.45



What are the relative energies? In meV per atom: *P* 0; *Q* 137.



*P*
DFT (PBE) results for a geometry-optimized BaAc2Sm structure.

Summary:
calculated volume = 716.0 Å³/cell

Cell: 8.9463 8.9463 8.9463 Å, 90.00 90.00 90.00°
Closest atoms and distances in Å follow each position.
Space group Fm-3m (No. 225)
Inequivalent atoms, fractional coordinates:
Ba 0.0000 0.0000 0.0000 (multiplicity 4)  8 Ac 3.87
Ac 0.2500 0.2500 0.2500 (multiplicity 8)  4 Ba 3.87, 4 Sm 3.87
Sm 0.0000 0.0000 0.5000 (multiplicity 4)  8 Ac 3.87



*Q*
DFT (PBE) results for a geometry-optimized BaAc2Sm structure.

Summary:
calculated volume = 547.0 Å³/cell

Cell: 3.9028 3.9028 41.4711 Å, 90.00 90.00 120.00°
Closest atoms and distances in Å follow each position.
Space group R-3m (No. 166, hexagonal axes)
Inequivalent atoms, fractional coordinates:
Ba 0.0000 0.0000 0.0000 (multiplicity 3)  2 Ac 3.89, 6 Ba 3.90
Ac 0.0000 0.0000 0.0938 (multiplicity 6)  3 Sm 3.77, 1 Ba 3.89, 6 Ac 3.90
Sm 0.0000 0.0000 0.5000 (multiplicity 3)  6 Ac 3.77, 6 Sm 3.90



*R*
DFT (PBE) results for a geometry-optimized BaAc2Sm structure.

Summary:
calculated volume = 176.7 Å³/cell

Cell: 5.6066 5.6066 5.6197 Å, 90.00 90.00 90.00°
Closest atoms and distances in Å follow each position.
Space group P4/mmm (No. 123)
Inequivalent atoms, fractional coordinates:
Ba 0.0000 0.0000 0.0000 (multiplicity 1)  4 Sm 3.96, 8 Ac 3.97
Ac 0.0000 0.5000 0.5000 (multiplicity 2)  4 Ac 3.96, 4 Ba 3.97, 4 Sm 3.97
Sm 0.5000 0.5000 0.0000 (multiplicity 1)  4 Ba 3.96, 8 Ac 3.97



*S*
DFT (PBE) results for a geometry-optimized BaAc2Sm structure.

Summary:
calculated volume = 179.5 Å³/cell

Cell: 3.9757 3.9757 11.3586 Å, 90.00 90.00 90.00°
Closest atoms and distances in Å follow each position.
Space group P4/mmm (No. 123)
Inequivalent atoms, fractional coordinates:
Ba 0.0000 0.0000 0.0000 (multiplicity 1)  4 Ba 3.98, 8 Ac 4.25
Ac 0.5000 0.5000 0.2804 (multiplicity 2)  4 Sm 3.76, 4 Ac 3.98
Sm 0.0000 0.0000 0.5000 (multiplicity 1)  8 Ac 3.76, 4 Sm 3.98



What are the relative energies? In meV per atom: *P* 145; *Q* 96; *R* 80; *S* 0.